Below is a geometry-optimized Be2TeRu structure, with properties calculated at the PBEsol level. Values from VASP.

Results
Energy relative to the elements, uncorrected ... 0.22 eV/atom
DOS(E_F) ... 0.556 states/eV per atom
SG ... C2/m, No. 12

Structure (Quantum ESPRESSO input):
```
&SYSTEM
  ibrav = 0, nat = 4, ntyp = 3
/
ATOMIC_SPECIES
Ru 101.07 Ru.upf
Te 127.60 Te.upf
Be 9.01 Be.upf
ATOMIC_POSITIONS crystal
Ru 0.0000 0.0000 0.5000
Te 0.5000 0.0000 0.0000
Be 0.7142 0.4285 0.6340
Be 0.2858 0.5715 0.3660
CELL_PARAMETERS angstrom
-2.5591 -0.5026 1.8493
-0.2860 -2.0278 -3.7106
2.1755 -3.5175 2.0544
```